Compound: Th4BiIrSe2
Source: Alexandria
Functional: PBE-GGA
Structure: relaxed

Unit cell a=7.459 b=4.190 c=7.797 alpha=90.00 beta=108.44 gamma=90.00
Positions (direct):
Th 0.226 0.000 0.216
Th 0.259 0.500 0.777
Th 0.741 0.500 0.223
Th 0.774 0.000 0.784
Bi 0.000 0.000 0.500
Ir 0.000 0.500 0.000
Se 0.500 0.000 0.000
Se 0.500 0.500 0.500

Formation energy (no corrections) (eV/atom): -1.134

=====

Compound: VBi2IrSe
Source: Alexandria
Functional: PBE-GGA
Structure: relaxed

Unit cell a=5.343 b=5.343 c=4.856 alpha=90.00 beta=90.00 gamma=90.00
Positions (direct):
V 0.000 0.000 0.000
Bi 0.000 0.500 0.500
Bi 0.500 0.000 0.500
Ir 0.000 0.000 0.500
Se 0.500 0.500 0.000

Formation energy (no corrections) (eV/atom): 0.623

=====

Compound: SiBi2Ir
Source: Alexandria
Functional: PBE-GGA
Structure: relaxed

Unit cell a=6.255 b=6.255 c=12.624 alpha=90.00 beta=90.00 gamma=90.00
Positions (direct):
Si 0.000 0.000 0.000
Si 0.000 0.500 0.250
Si 0.500 0.000 0.750
Si 0.500 0.500 0.500
Bi 0.231 0.250 0.625
Bi 0.250 0.731 0.875
Bi 0.250 0.769 0.375
Bi 0.269 0.250 0.125
Bi 0.731 0.750 0.125
Bi 0.750 0.231 0.375
Bi 0.750 0.269 0.875
Bi 0.769 0.750 0.625
Ir 0.000 0.000 0.500
Ir 0.000 0.500 0.750
Ir 0.500 0.000 0.250
Ir 0.500 0.500 0.000

Formation energy (no corrections) (eV/atom): 0.546

=====

Compound: SiSnBiIr2
Source: Alexandria
Functional: PBE-GGA
Structure: relaxed

Unit cell a=5.053 b=5.053 c=5.193 alpha=90.00 beta=90.00 gamma=90.00
Positions (direct):
Si 0.000 0.000 0.000
Sn 0.500 0.500 0.000
Bi 0.000 0.000 0.500
Ir 0.000 0.500 0.500
Ir 0.500 0.000 0.500

Formation energy (no corrections) (eV/atom): 1.635

=====

Compound: SiBi2TeIr
Source: Alexandria
Functional: PBE-GGA
Structure: relaxed

Unit cell a=5.735 b=5.735 c=4.952 alpha=90.00 beta=90.00 gamma=90.00
Positions (direct):
Si 0.000 0.000 0.000
Bi 0.000 0.500 0.500
Bi 0.500 0.000 0.500
Te 0.000 0.000 0.500
Ir 0.500 0.500 0.000

Formation energy (no corrections) (eV/atom): 1.721

=====

Compound: Sm5Bi4Ir
Source: Alexandria
Functional: PBE-GGA
Structure: relaxed

Unit cell a=7.741 b=7.741 c=7.741 alpha=99.87 beta=99.87 gamma=131.09
Positions (direct):
Sm 0.000 0.000 0.000
Sm 0.111 0.294 0.627
Sm 0.294 0.668 0.183
Sm 0.485 0.111 0.817
Sm 0.668 0.485 0.373
Bi 0.188 0.978 0.390
Bi 0.588 0.798 0.610
Bi 0.798 0.188 0.210
Bi 0.978 0.588 0.790
Ir 0.435 0.435 0.000

Formation enthalpy at 0 K (eV/atom): -0.763

=====

Compound: Sm6Bi3Ir
Source: Alexandria
Functional: PBE-GGA
Structure: relaxed

Unit cell a=6.666 b=8.641 c=12.923 alpha=90.00 beta=120.19 gamma=90.00
Positions (direct):
Sm 0.061 0.198 0.441
Sm 0.061 0.302 0.941
Sm 0.294 0.658 0.435
Sm 0.294 0.842 0.935
Sm 0.372 0.040 0.231
Sm 0.372 0.460 0.731
Sm 0.628 0.540 0.269
Sm 0.628 0.960 0.769
Sm 0.706 0.158 0.065
Sm 0.706 0.342 0.565
Sm 0.939 0.698 0.059
Sm 0.939 0.802 0.559
Bi 0.156 0.117 0.740
Bi 0.156 0.383 0.240
Bi 0.500 0.000 0.500
Bi 0.500 0.500 0.000
Bi 0.844 0.617 0.760
Bi 0.844 0.883 0.260
Ir 0.000 0.000 0.000
Ir 0.000 0.500 0.500

Formation enthalpy at 0 K (eV/atom): -0.655

=====

Compound: Sm8Bi2Ir
Source: Alexandria
Functional: PBE-GGA
Structure: relaxed

Unit cell a=10.046 b=10.046 c=7.504 alpha=98.01 beta=98.01 gamma=27.34
Positions (direct):
Sm 0.003 0.003 0.278
Sm 0.215 0.215 0.850
Sm 0.359 0.359 0.463
Sm 0.406 0.406 0.989
Sm 0.594 0.594 0.011
Sm 0.641 0.641 0.537
Sm 0.785 0.785 0.150
Sm 0.997 0.997 0.722
Bi 0.183 0.183 0.276
Bi 0.817 0.817 0.724
Ir 0.500 0.500 0.500

Formation enthalpy at 0 K (eV/atom): -0.441

=====

no.,uncorrected energy (eV for the cell shown)
1,-58.464
2,-26.113
3,-79.441
4,-22.853
5,-16.584
6,-55.613
7,-110.746
8,-59.225